(1)
Below is crystalline Zr4Mo2P3C3 at its relaxed geometry, with properties calculated at the PBE-GGA level.

Computed properties:
Size of the total moment (μB per atom): 0.00
Energy (Ry per atom): -0.67171

Cell and atoms, written as CIF:
```
data_Zr4Mo2P3C3
_chemical_formula_sum 'Zr16 Mo8 P12 C12'
_symmetry_space_group_name_H-M 'C 1 2/c 1'
_symmetry_Int_Tables_number 15
_cell_length_a 10.0210
_cell_length_b 5.8018
_cell_length_c 12.4800
_cell_angle_alpha 90.00
_cell_angle_beta 105.35
_cell_angle_gamma 90.00
loop_
_symmetry_equiv_pos_as_xyz
'x,y,z'
'-x,-y,-z'
'-x,y,-z+1/2'
'x,-y,z+1/2'
'x+1/2,y+1/2,z'
'-x+1/2,-y+1/2,-z'
'-x+1/2,y+1/2,-z+1/2'
'x+1/2,-y+1/2,z+1/2'
loop_
_atom_site_label
_atom_site_type_symbol
_atom_site_fract_x
_atom_site_fract_y
_atom_site_fract_z
Zr1 Zr 0.1191 0.0797 0.1070
Zr2 Zr 0.2126 0.0852 0.3930
Mo1 Mo 0.0592 0.4133 0.9123
P1 P 0.0000 0.1197 0.7500
P2 P 0.1506 0.4329 0.2509
C1 C 0.0822 0.2531 0.5002
C2 C 0.2500 0.2500 0.0000
```

---

(2)
Below is crystalline ErFeCu at its relaxed geometry, with properties calculated at the PBE-GGA level.

Computed properties:
Size of the total moment (μB per atom): 0.75
Energy (Ry per atom): -0.34281

Cell and atoms, written as CIF:
```
data_ErFeCu
_chemical_formula_sum 'Er4 Fe4 Cu4'
_symmetry_space_group_name_H-M 'F -4 3 m'
_symmetry_Int_Tables_number 216
_symmetry_space_group_name_Hall 'F -4 2 3'
_cell_length_a 6.2979
_cell_length_b 6.2979
_cell_length_c 6.2979
_cell_angle_alpha 90.00
_cell_angle_beta 90.00
_cell_angle_gamma 90.00
loop_
_atom_site_label
_atom_site_type_symbol
_atom_site_fract_x
_atom_site_fract_y
_atom_site_fract_z
Er1 Er 0.0000 0.0000 0.0000
Fe1 Fe 0.2500 0.2500 0.2500
Cu1 Cu 0.2500 0.2500 0.7500
```

---

(3)
Below is crystalline KThCuSe2S at its relaxed geometry, with properties calculated at the PBE-GGA level.

Computed properties:
Size of the total moment (μB per atom): 0.00
Energy (Ry per atom): -0.38783

Cell and atoms, written as CIF:
```
data_KThCuSe2S
_chemical_formula_sum 'K4 Th4 Cu4 Se8 S4'
_symmetry_space_group_name_H-M 'C m c m'
_symmetry_Int_Tables_number 63
_symmetry_space_group_name_Hall '-C 2c 2'
_cell_length_a 4.1905
_cell_length_b 14.3276
_cell_length_c 10.6886
_cell_angle_alpha 90.00
_cell_angle_beta 90.00
_cell_angle_gamma 90.00
loop_
_atom_site_label
_atom_site_type_symbol
_atom_site_fract_x
_atom_site_fract_y
_atom_site_fract_z
K1 K 0.0000 0.2369 0.2500
Th1 Th 0.0000 0.5000 0.0000
Cu1 Cu 0.0000 0.0280 0.7500
Se1 Se 0.0000 0.1334 0.5649
S1 S 0.0000 0.4416 0.7500
```

---

(4)
Below is crystalline LaY2Mg3Tl2Cd at its relaxed geometry, with properties calculated at the PBE-GGA level.

Computed properties:
Size of the total moment (μB per atom): 0.00
Energy (Ry per atom): -0.25549

Cell and atoms, written as CIF:
```
data_LaY2Mg3Tl2Cd
_chemical_formula_sum 'La2 Y4 Mg6 Tl4 Cd2'
_symmetry_space_group_name_H-M 'A m m 2'
_symmetry_Int_Tables_number 38
_cell_length_a 4.7000
_cell_length_b 13.4023
_cell_length_c 7.5643
_cell_angle_alpha 90.00
_cell_angle_beta 90.00
_cell_angle_gamma 90.00
loop_
_symmetry_equiv_pos_as_xyz
'x,y,z'
'-x,-y,z'
'-x,y,z'
'x,-y,z'
'x,y+1/2,z+1/2'
'-x,-y+1/2,z+1/2'
'-x,y+1/2,z+1/2'
'x,-y+1/2,z+1/2'
loop_
_atom_site_label
_atom_site_type_symbol
_atom_site_fract_x
_atom_site_fract_y
_atom_site_fract_z
La1 La 0.0000 0.0000 0.0000
Y1 Y 0.0000 0.2122 0.6354
Mg1 Mg 0.5000 0.0000 0.6653
Mg2 Mg 0.5000 0.1196 0.3079
Tl1 Tl 0.5000 0.1712 0.9233
Cd1 Cd 0.0000 0.0000 0.4369
```

---

(5)
Below is crystalline LiZr2In2CuIr2 at its relaxed geometry, with properties calculated at the PBE-GGA level.

Computed properties:
Size of the total moment (μB per atom): 0.00
Energy (Ry per atom): -0.45721

Cell and atoms, written as CIF:
```
data_LiZr2In2CuIr2
_chemical_formula_sum 'Li1 Zr2 In2 Cu1 Ir2'
_symmetry_space_group_name_H-M 'P -4 m 2'
_symmetry_Int_Tables_number 115
_cell_length_a 4.6122
_cell_length_b 4.6122
_cell_length_c 6.5186
_cell_angle_alpha 90.00
_cell_angle_beta 90.00
_cell_angle_gamma 90.00
loop_
_symmetry_equiv_pos_as_xyz
'x,y,z'
'y,-x,-z'
'-x,-y,z'
'-y,x,-z'
'-x,y,z'
'-y,-x,-z'
'x,-y,z'
'y,x,-z'
loop_
_atom_site_label
_atom_site_type_symbol
_atom_site_fract_x
_atom_site_fract_y
_atom_site_fract_z
Li1 Li 0.0000 0.0000 0.0000
Zr1 Zr 0.0000 0.5000 0.2517
In1 In 0.0000 0.5000 0.7530
Cu1 Cu 0.5000 0.5000 0.5000
Ir1 Ir 0.0000 0.0000 0.5000
Ir2 Ir 0.5000 0.5000 0.0000
```

---

(6)
Below is crystalline Sm3Al2Ni6 at its relaxed geometry, with properties calculated at the PBE-GGA level.

Computed properties:
Size of the total moment (μB per atom): 0.00
Energy (Ry per atom): -0.40461

Cell and atoms, written as CIF:
```
data_Sm3Al2Ni6
_chemical_formula_sum 'Sm12 Al8 Ni24'
_symmetry_space_group_name_H-M 'I m -3 m'
_symmetry_Int_Tables_number 229
_symmetry_space_group_name_Hall '-I 4 2 3'
_cell_length_a 9.0061
_cell_length_b 9.0061
_cell_length_c 9.0061
_cell_angle_alpha 90.00
_cell_angle_beta 90.00
_cell_angle_gamma 90.00
loop_
_atom_site_label
_atom_site_type_symbol
_atom_site_fract_x
_atom_site_fract_y
_atom_site_fract_z
Sm1 Sm 0.0000 0.0000 0.2919
Al1 Al 0.2500 0.2500 0.2500
Ni1 Ni 0.0000 0.3339 0.3339
```